Record 1
The following is a GGA-PBE calculation of a relaxed NdBi2Pd7 crystal, from Alexandria.

Calculated values
DOS(E_F)	0.306	states/eV/atom
energy above the most stable polymorph in this dataset	0.000	eV per atom
V	20.32	Å³ per atom
size of the total moment	0.000	μB per cell
uncorrected energy	-105.874	eV for the cell shown

a b c (Å): 4.1246 4.1246 23.8901
angles (deg): 90.00 90.00 90.00
Space group I4/mmm (No. 139)
Symmetry-distinct sites (fractional):
Nd  0.0000  0.0000  0.0000
Bi  0.0000  0.0000  0.3307
Pd  0.0000  0.0000  0.5000
Pd  0.0000  0.5000  0.0903
Pd  0.0000  0.5000  0.2500


Record 2
The following is a GGA-PBE calculation of a relaxed Nd2BiPd crystal, from Alexandria.

Calculated values
DOS(E_F)	0.908	states/eV/atom
energy above the most stable polymorph in this dataset	0.104	eV per atom
V	27.52	Å³ per atom
size of the total moment	0.000	μB per cell
uncorrected energy	-21.333	eV for the cell shown

a b c (Å): 3.7307 3.7307 7.9096
angles (deg): 90.00 90.00 90.00
Space group P4/mmm (No. 123)
Symmetry-distinct sites (fractional):
Nd  0.0000  0.0000  0.2199
Bi  0.5000  0.5000  0.5000
Pd  0.5000  0.5000  0.0000


Record 3
The following is a GGA-PBE calculation of a relaxed Nd2BiPd crystal, from Alexandria.

Calculated values
DOS(E_F)	0.816	states/eV/atom
energy above the most stable polymorph in this dataset	0.126	eV per atom
V	27.59	Å³ per atom
size of the total moment	3.687	μB per cell
uncorrected energy	-84.976	eV for the cell shown

a b c (Å): 7.6140 7.6140 7.6140
angles (deg): 90.00 90.00 90.00
Space group Fm-3m (No. 225)
Symmetry-distinct sites (fractional):
Nd  0.2500  0.2500  0.2500
Bi  0.0000  0.0000  0.0000
Pd  0.0000  0.0000  0.5000


Record 4
The following is a GGA-PBE calculation of a relaxed NdBi2Pd7 crystal, from Alexandria.

Calculated values
DOS(E_F)	0.481	states/eV/atom
energy above the most stable polymorph in this dataset	0.253	eV per atom
V	23.52	Å³ per atom
size of the total moment	0.000	μB per cell
uncorrected energy	-100.813	eV for the cell shown

a b c (Å): 7.5004 13.7743 4.5538
angles (deg): 90.00 90.00 90.00
Space group Cmmm (No. 65)
Symmetry-distinct sites (fractional):
Nd  0.0000  0.0000  0.0000
Bi  0.0000  0.3035  0.5000
Pd  0.0000  0.2035  0.0000
Pd  0.0000  0.5000  0.5000
Pd  0.1801  0.1056  0.5000


Record 5
The following is a GGA-PBE calculation of a relaxed Nd2Bi2Pd15 crystal, from Alexandria.

Calculated values
DOS(E_F)	1.096	states/eV/atom
V	18.59	Å³ per atom
size of the total moment	0.000	μB per cell
uncorrected energy	-306.132	eV for the cell shown

a b c (Å): 9.3730 9.3730 13.9246
angles (deg): 90.00 90.00 120.00
Space group R-3m (No. 166, hexagonal axes)
Symmetry-distinct sites (fractional):
Nd  0.0000  0.0000  0.1433
Bi  0.0000  0.0000  0.3934
Pd  0.0000  0.3309  0.5000
Pd  0.0000  0.5000  0.0000
Pd  0.0082  0.5041  0.6637


Record 6
The following is a GGA-PBE calculation of a relaxed Nd5Bi3Pd12 crystal, from Alexandria.

Calculated values
DOS(E_F)	0.610	states/eV/atom
V	26.54	Å³ per atom
size of the total moment	0.000	μB per cell
uncorrected energy	-808.351	eV for the cell shown

a b c (Å): 16.1928 16.1928 16.1928
angles (deg): 90.00 90.00 90.00
Space group Ia-3d (No. 230)
Symmetry-distinct sites (fractional):
Nd  0.0000  0.0000  0.0000
Nd  0.0000  0.2500  0.3750
Bi  0.0000  0.2500  0.1250
Pd  0.0059  0.0823  0.6514


Record 7
The following is a GGA-PBE calculation of a relaxed NdBi4Pd12 crystal, from Alexandria.

Calculated values
DOS(E_F)	0.280	states/eV/atom
V	22.33	Å³ per atom
size of the total moment	0.000	μB per cell
uncorrected energy	-163.662	eV for the cell shown

a b c (Å): 9.1232 9.1232 9.1232
angles (deg): 90.00 90.00 90.00
Space group Im-3 (No. 204)
Symmetry-distinct sites (fractional):
Nd  0.0000  0.0000  0.0000
Bi  0.2500  0.2500  0.2500
Pd  0.0000  0.3532  0.1467


Record 8
The following is a GGA-PBE calculation of a relaxed Nd5BiPd2 crystal, from Alexandria.

Calculated values
DOS(E_F)	1.064	states/eV/atom
V	28.97	Å³ per atom
size of the total moment	0.001	μB per cell
uncorrected energy	-172.534	eV for the cell shown

a b c (Å): 8.1868 8.1868 13.8328
angles (deg): 90.00 90.00 90.00
Space group I4/mcm (No. 140)
Symmetry-distinct sites (fractional):
Nd  0.0000  0.0000  0.0000
Nd  0.1550  0.3450  0.1406
Bi  0.0000  0.0000  0.2500
Pd  0.1338  0.3662  0.5000